# 1
DFT (PBE) results for an optimized crystal structure of Rb3Tb3GaTe8.

Cell lengths 15.199, 8.776, 10.230 Å; angles 90.00, 119.73, 90.00 degrees
Space group C2/m (No. 12)
Asymmetric unit:
Rb: 0.000 0.000 0.000 x2
Rb: 0.250 0.250 0.000 x4
Tb: 0.000 0.500 0.500 x2
Tb: 0.250 0.250 0.500 x4
Ga: 0.000 0.000 0.500 x2
Te: 0.016 0.240 0.309 x8
Te: 0.221 0.000 0.690 x4
Te: 0.234 0.500 0.702 x4

Computed properties:
The value obtained for the uncorrected formation energy is -15.9 eV/f.u. The total energy is -4.0561 eV/atom.

# 2
DFT (PBE) results for an optimized crystal structure of Rb3GaTc.

Cell lengths 6.727, 6.727, 6.727 Å; angles 90.00, 90.00, 90.00 degrees
Space group Pm-3m (No. 221)
Asymmetric unit:
Rb: 0.000 0.000 0.500 x3
Ga: 0.000 0.000 0.000 x1
Tc: 0.500 0.500 0.500 x1

Computed properties:
The total energy is -1.9726 eV/atom. Its offset from the most stable computed form is 0.000 eV/atom. The formation energy comes out at 6.43 eV/f.u.

# 3
DFT (PBE) results for an optimized crystal structure of RbGa2Tc.

Cell lengths 6.592, 6.592, 13.766 Å; angles 90.00, 90.00, 90.00 degrees
Space group I4_1/amd (No. 141, origin choice 2)
Asymmetric unit:
Rb: 0.000 0.250 0.375 x4
Ga: 0.000 0.000 0.000 x8
Tc: 0.000 0.250 0.875 x4

Computed properties:
The total energy is -3.9185 eV/atom. Its offset from the most stable computed form is 0.000 eV/atom. The formation energy comes out at 1.71 eV/f.u.

# 4
DFT (PBE) results for an optimized crystal structure of RbGa2Tc.

Cell lengths 7.124, 7.124, 7.124 Å; angles 90.00, 90.00, 90.00 degrees
Space group Fm-3m (No. 225)
Asymmetric unit:
Rb: 0.000 0.000 0.000 x4
Ga: 0.250 0.250 0.250 x8
Tc: 0.000 0.000 0.500 x4

Computed properties:
The total energy is -3.4353 eV/atom. Its offset from the most stable computed form is 0.483 eV/atom. The formation energy comes out at 3.65 eV/f.u.

# 5
DFT (PBE) results for an optimized crystal structure of RbGaTc3.

Cell lengths 4.739, 4.739, 4.739 Å; angles 90.00, 90.00, 90.00 degrees
Space group Pm-3m (No. 221)
Asymmetric unit:
Rb: 0.000 0.000 0.000 x1
Ga: 0.500 0.500 0.500 x1
Tc: 0.000 0.000 0.500 x3

Computed properties:
The total energy is -3.8319 eV/atom. Its offset from the most stable computed form is 1.396 eV/atom. The formation energy comes out at 15.93 eV/f.u.

# 6
DFT (PBE) results for an optimized crystal structure of RbGaTc3.

Cell lengths 4.842, 4.842, 4.842 Å; angles 90.00, 90.00, 90.00 degrees
Space group Pm-3m (No. 221)
Asymmetric unit:
Rb: 0.000 0.000 0.000 x1
Ga: 0.500 0.500 0.500 x1
Tc: 0.000 0.500 0.500 x3

Computed properties:
The total energy is -5.2283 eV/atom. Its offset from the most stable computed form is 0.000 eV/atom. The formation energy comes out at 8.95 eV/f.u.